First-principles (PBE-GGA) data for a relaxed LiPrCdHg crystal, as listed in Alexandria via LeMat-Bulk.

a b c (Å): 5.1826 5.1826 5.1826
angles (deg): 60.00 60.00 60.00
Atoms (fractional coordinates):
Li (0.0000, 0.0000, 0.0000)
Pr (0.5000, 0.5000, 0.5000)
Cd (0.7500, 0.7500, 0.7500)
Hg (0.2500, 0.2500, 0.2500)

Summary:
The volume comes out at 24.608 Å³/atom. The total moment is 0.0 μB/cell. The formation energy comes out at -0.3663 eV/atom. Its space group is F-43m (216).